A plane-wave DFT calculation with GGA-PBE was carried out for an optimized crystal structure of LaTi3Fe.

Output
Mass density, g/cm³: 5.39
Distance to the lowest polymorph of the same formula, meV/atom: 1646.4
Energy, eV per atom: -5.650
Calculated formation energy, eV per atom: 1.77

a = 4.707 Å, b = 4.707 Å, c = 4.707 Å
α = 90.00°, β = 90.00°, γ = 90.00°
Space group Pm-3m (No. 221)
One atom of each set of equivalent atoms:
1 La 0.000 0.000 0.000 (multiplicity 1)
2 Ti 0.000 0.000 0.500 (multiplicity 3)
3 Fe 0.500 0.500 0.500 (multiplicity 1)